# Os | the Alexandria database | PBE | optimized geometry
# Crystal system: orthorhombic
# ΔE to the lowest computed polymorph, meV per atom: 206.7
# Calculated formation energy, eV/atom: 0.2067
# DFT total energy, eV per atom: -11.0231
data_Os
_chemical_formula_sum 'Os12'
_cell_length_a 5.137
_cell_length_b 7.284
_cell_length_c 4.711
_cell_angle_alpha 90.00
_cell_angle_beta 90.00
_cell_angle_gamma 90.00
_symmetry_space_group_name_H-M 'P n m a'
_symmetry_Int_Tables_number 62
loop_
_symmetry_equiv_pos_as_xyz
'x,y,z'
'-x,-y,-z'
'-x+1/2,-y,z+1/2'
'x+1/2,y,-z+1/2'
'x+1/2,-y+1/2,-z+1/2'
'-x+1/2,y+1/2,z+1/2'
'-x,y+1/2,-z'
'x,-y+1/2,z'
loop_
_atom_site_label
_atom_site_type_symbol
_atom_site_fract_x
_atom_site_fract_y
_atom_site_fract_z
_atom_site_occupancy
Os1 Os 0.038 0.250 0.159 1
Os2 Os 0.182 0.071 0.658 1